Entry from Alexandria via LeMat-Bulk: crystalline La2Sm3Ho8 at its relaxed geometry (PBE).

Calculated values
excess energy over the best structure of this formula in the dataset: 0 meV per atom
calculated formation energy: 3.00 eV per formula unit
E: -0.163 hartree per atom
size of the total moment: 0.000 μB/cell
space group: C2/m (12)

Cell: 8.6686 8.6686 6.9740 Å, 105.60 105.60 63.99°
Fractional positions:
La: 0.2226 0.2226 0.4181
La: 0.7774 0.7774 0.5819
Sm: 0.0000 0.0000 0.0000
Sm: 0.1763 0.8237 0.5000
Sm: 0.8237 0.1763 0.5000
Ho: 0.1918 0.1918 0.8918
Ho: 0.2001 0.5636 0.8317
Ho: 0.4220 0.4220 0.2671
Ho: 0.4364 0.7999 0.1683
Ho: 0.5636 0.2001 0.8317
Ho: 0.5780 0.5780 0.7329
Ho: 0.7999 0.4364 0.1683
Ho: 0.8082 0.8082 0.1082

Entry from Alexandria via LeMat-Bulk: crystalline NiMo3 at its relaxed geometry (PBE).

Calculated values
calculated formation energy: 0.17 eV per formula unit
E: -0.350 hartree per atom
size of the total moment: 0.001 μB/cell
space group: Cmmm (65)

Cell: 3.2425 4.2653 8.5041 Å, 90.00 90.00 90.00°
Fractional positions:
Ni: 0.0000 0.0000 0.0000
Ni: 0.5000 0.5000 0.0000
Mo: 0.0000 0.0000 0.5000
Mo: 0.0000 0.5000 0.2340
Mo: 0.0000 0.5000 0.7660
Mo: 0.5000 0.0000 0.2340
Mo: 0.5000 0.0000 0.7660
Mo: 0.5000 0.5000 0.5000

Entry from Alexandria via LeMat-Bulk: crystalline Pu3Cu2Ge7 at its relaxed geometry (PBE).

Calculated values
calculated formation energy: -3.72 eV per formula unit
E: -0.267 hartree per atom
size of the total moment: 16.313 μB/cell
space group: P2/m (10)

Cell: 4.2276 4.2370 13.0468 Å, 90.00 99.26 90.00°
Fractional positions:
Pu: 0.0000 0.0000 0.0000
Pu: 0.3159 0.5000 0.6317
Pu: 0.6841 0.5000 0.3683
Cu: 0.1371 0.0000 0.2635
Cu: 0.8629 0.0000 0.7365
Ge: 0.0682 0.5000 0.1714
Ge: 0.2232 0.0000 0.4466
Ge: 0.4121 0.0000 0.8288
Ge: 0.5000 0.5000 0.0000
Ge: 0.5879 0.0000 0.1712
Ge: 0.7768 0.0000 0.5534
Ge: 0.9318 0.5000 0.8286

Entry from Alexandria via LeMat-Bulk: crystalline ScTcP2 at its relaxed geometry (PBE).

Calculated values
excess energy over the best structure of this formula in the dataset: 0 meV per atom
calculated formation energy: -3.38 eV per formula unit
E: -0.284 hartree per atom
size of the total moment: 0.000 μB/cell
space group: Imm2 (44)

Cell: 3.0877 3.4173 12.0128 Å, 90.00 90.00 90.00°
Fractional positions:
Sc: 0.0000 0.0000 0.0000
Sc: 0.5000 0.5000 0.5000
Tc: 0.0000 0.5000 0.7472
Tc: 0.5000 0.0000 0.2472
P: 0.0000 0.0000 0.4002
P: 0.0000 0.5000 0.1659
P: 0.5000 0.0000 0.6659
P: 0.5000 0.5000 0.9002

Entry from Alexandria via LeMat-Bulk: crystalline Sc3CoAs at its relaxed geometry (PBE).

Calculated values
excess energy over the best structure of this formula in the dataset: 0 meV per atom
calculated formation energy: -1.41 eV per formula unit
E: -0.236 hartree per atom
size of the total moment: 0.000 μB/cell
space group: Pm-3m (221)

Cell: 4.7421 4.7421 4.7421 Å, 90.00 90.00 90.00°
Fractional positions:
Sc: 0.0000 0.0000 0.5000
Sc: 0.0000 0.5000 0.0000
Sc: 0.5000 0.0000 0.0000
Co: 0.0000 0.0000 0.0000
As: 0.5000 0.5000 0.5000

Entry from Alexandria via LeMat-Bulk: crystalline MgMoAs at its relaxed geometry (PBE).

Calculated values
excess energy over the best structure of this formula in the dataset: 391 meV per atom
calculated formation energy: 0.61 eV per formula unit
E: -0.202 hartree per atom
size of the total moment: 0.006 μB/cell
space group: F-43m (216)

Cell: 6.0399 6.0399 6.0399 Å, 90.00 90.00 90.00°
Fractional positions:
Mg: 0.0000 0.0000 0.0000
Mg: 0.0000 0.5000 0.5000
Mg: 0.5000 0.0000 0.5000
Mg: 0.5000 0.5000 0.0000
Mo: 0.0000 0.0000 0.5000
Mo: 0.0000 0.5000 0.0000
Mo: 0.5000 0.0000 0.0000
Mo: 0.5000 0.5000 0.5000
As: 0.2500 0.2500 0.7500
As: 0.2500 0.7500 0.2500
As: 0.7500 0.2500 0.2500
As: 0.7500 0.7500 0.7500

Entry from Alexandria via LeMat-Bulk: crystalline Rb2CdIn4Pb3 at its relaxed geometry (PBE).

Calculated values
calculated formation energy: -0.91 eV per formula unit
E: -0.095 hartree per atom
size of the total moment: 0.000 μB/cell
space group: P-4m2 (115)

Cell: 5.2358 5.2358 12.6784 Å, 90.00 90.00 90.00°
Fractional positions:
Rb: 0.0000 0.5000 0.2492
Rb: 0.5000 0.0000 0.7508
Cd: 0.0000 0.0000 0.5000
In: 0.0000 0.0000 0.0000
In: 0.0000 0.5000 0.6264
In: 0.5000 0.0000 0.3736
In: 0.5000 0.5000 0.0000
Pb: 0.0000 0.5000 0.8655
Pb: 0.5000 0.0000 0.1345
Pb: 0.5000 0.5000 0.5000

Entry from Alexandria via LeMat-Bulk: crystalline KTiAs2 at its relaxed geometry (PBE).

Calculated values
excess energy over the best structure of this formula in the dataset: 563 meV per atom
calculated formation energy: 0.17 eV per formula unit
E: -0.166 hartree per atom
size of the total moment: 0.000 μB/cell
space group: Fm-3m (225)

Cell: 6.9426 6.9426 6.9426 Å, 90.00 90.00 90.00°
Fractional positions:
K: 0.0000 0.0000 0.0000
K: 0.0000 0.5000 0.5000
K: 0.5000 0.0000 0.5000
K: 0.5000 0.5000 0.0000
Ti: 0.0000 0.0000 0.5000
Ti: 0.0000 0.5000 0.0000
Ti: 0.5000 0.0000 0.0000
Ti: 0.5000 0.5000 0.5000
As: 0.2500 0.2500 0.2500
As: 0.2500 0.2500 0.7500
As: 0.2500 0.7500 0.2500
As: 0.2500 0.7500 0.7500
As: 0.7500 0.2500 0.2500
As: 0.7500 0.2500 0.7500
As: 0.7500 0.7500 0.2500
As: 0.7500 0.7500 0.7500

Entry from Alexandria via LeMat-Bulk: crystalline SiHgW at its relaxed geometry (PBE).

Calculated values
excess energy over the best structure of this formula in the dataset: 204 meV per atom
formation energy from raw total energies: 0.708 eV/atom
E: -0.203 hartree per atom
size of the total moment: 0.000 μB/cell
space group: I4mm (107)

Cell: 2.8094 2.8094 13.7954 Å, 90.00 90.00 90.00°
Fractional positions:
Si: 0.0000 0.0000 0.0000
Si: 0.5000 0.5000 0.5000
Hg: 0.0000 0.0000 0.6955
Hg: 0.5000 0.5000 0.1955
W: 0.0000 0.0000 0.3656
W: 0.5000 0.5000 0.8656

Entry from Alexandria via LeMat-Bulk: crystalline Ta2TcAs at its relaxed geometry (PBE).

Calculated values
calculated formation energy: 0.14 eV per formula unit
E: -0.354 hartree per atom
size of the total moment: 0.000 μB/cell
space group: R-3m (166)

Cell: 3.2480 3.2480 22.9806 Å, 90.00 90.00 120.00°
Fractional positions:
Ta: 0.0000 0.0000 0.2492
Ta: 0.0000 0.0000 0.7508
Ta: 0.3333 0.6667 0.4175
Ta: 0.3333 0.6667 0.9158
Ta: 0.6667 0.3333 0.0842
Ta: 0.6667 0.3333 0.5825
Tc: 0.0000 0.0000 0.0000
Tc: 0.3333 0.6667 0.6667
Tc: 0.6667 0.3333 0.3333
As: 0.0000 0.0000 0.5000
As: 0.3333 0.6667 0.1667
As: 0.6667 0.3333 0.8333

Entry from Alexandria via LeMat-Bulk: crystalline SrCdAs2O7 at its relaxed geometry (PBE).

Calculated values
formation energy from raw total energies: -1.663 eV/atom
E: -0.217 hartree per atom
size of the total moment: 0.000 μB/cell
space group: P-1 (2)

Cell: 5.8938 7.2870 7.6223 Å, 101.21 90.02 98.55°
Fractional positions:
Sr: 0.1842 0.2739 0.4361
Sr: 0.8158 0.7261 0.5639
Cd: 0.1854 0.1682 0.8997
Cd: 0.8146 0.8318 0.1003
As: 0.2936 0.6690 0.8851
As: 0.3138 0.7763 0.3201
As: 0.6862 0.2237 0.6799
As: 0.7064 0.3310 0.1149
O: 0.0899 0.8160 0.8750
O: 0.1046 0.9166 0.3219
O: 0.2166 0.4463 0.7672
O: 0.2556 0.6328 0.4700
O: 0.2861 0.6167 0.1063
O: 0.4111 0.1079 0.6585
O: 0.4337 0.2247 0.1425
O: 0.5663 0.7753 0.8575
O: 0.5889 0.8921 0.3415
O: 0.7139 0.3833 0.8937
O: 0.7444 0.3672 0.5300
O: 0.7834 0.5537 0.2328
O: 0.8954 0.0834 0.6781
O: 0.9101 0.1840 0.1250

Entry from Alexandria via LeMat-Bulk: crystalline YEr2Bi3 at its relaxed geometry (PBE).

Calculated values
calculated formation energy: -5.05 eV per formula unit
E: -0.198 hartree per atom
size of the total moment: 0.000 μB/cell
space group: Immm (71)

Cell: 4.4603 6.3041 13.3853 Å, 90.00 90.00 90.00°
Fractional positions:
Y: 0.0000 0.0000 0.0000
Y: 0.5000 0.5000 0.5000
Er: 0.0000 0.0000 0.3339
Er: 0.0000 0.0000 0.6661
Er: 0.5000 0.5000 0.1661
Er: 0.5000 0.5000 0.8339
Bi: 0.0000 0.5000 0.0000
Bi: 0.0000 0.5000 0.3317
Bi: 0.0000 0.5000 0.6683
Bi: 0.5000 0.0000 0.1683
Bi: 0.5000 0.0000 0.5000
Bi: 0.5000 0.0000 0.8317

Entry from Alexandria via LeMat-Bulk: crystalline PrNd8In6 at its relaxed geometry (PBE).

Calculated values
calculated formation energy: -3.66 eV per formula unit
E: -0.154 hartree per atom
size of the total moment: 0.000 μB/cell
space group: R-3 (148)

Cell: 8.5468 8.5468 8.5468 Å, 65.92 65.92 65.92°
Fractional positions:
Pr: 0.0000 0.0000 0.0000
Nd: 0.1158 0.7827 0.4485
Nd: 0.2173 0.5515 0.8842
Nd: 0.3331 0.3331 0.3331
Nd: 0.4485 0.1158 0.7827
Nd: 0.5515 0.8842 0.2173
Nd: 0.6669 0.6669 0.6669
Nd: 0.7827 0.4485 0.1158
Nd: 0.8842 0.2173 0.5515
In: 0.0547 0.3893 0.7198
In: 0.2802 0.9453 0.6107
In: 0.3893 0.7198 0.0547
In: 0.6107 0.2802 0.9453
In: 0.7198 0.0547 0.3893
In: 0.9453 0.6107 0.2802

Entry from Alexandria via LeMat-Bulk: crystalline RhAuS2 at its relaxed geometry (PBE).

Calculated values
formation energy from raw total energies: -0.315 eV/atom
E: -0.185 hartree per atom
size of the total moment: 0.000 μB/cell
space group: P2/c (13)

Cell: 6.8543 3.5889 6.2298 Å, 90.00 98.46 90.00°
Fractional positions:
Rh: 0.0000 0.2487 0.2500
Rh: 0.0000 0.7513 0.7500
Au: 0.5000 0.0000 0.0000
Au: 0.5000 0.0000 0.5000
S: 0.1755 0.2327 0.9471
S: 0.1755 0.7673 0.4471
S: 0.8245 0.2327 0.5529
S: 0.8245 0.7673 0.0529

Entry from Alexandria via LeMat-Bulk: crystalline CsNaHfTe3 at its relaxed geometry (PBE).

Calculated values
formation energy from raw total energies: -0.941 eV/atom
E: -0.167 hartree per atom
size of the total moment: 0.000 μB/cell
space group: Cmcm (63)

Cell: 8.7410 8.7410 7.8806 Å, 90.00 90.00 123.30°
Fractional positions:
Cs: 0.2368 0.7632 0.7500
Cs: 0.7632 0.2368 0.2500
Na: 0.4276 0.5724 0.2500
Na: 0.5724 0.4276 0.7500
Hf: 0.0548 0.9452 0.2500
Hf: 0.9452 0.0548 0.7500
Te: 0.2287 0.7713 0.2500
Te: 0.2309 0.2309 0.0000
Te: 0.2309 0.2309 0.5000
Te: 0.7691 0.7691 0.0000
Te: 0.7691 0.7691 0.5000
Te: 0.7713 0.2287 0.7500

Entry from Alexandria via LeMat-Bulk: crystalline LaTe3F at its relaxed geometry (PBE).

Calculated values
excess energy over the best structure of this formula in the dataset: 689 meV per atom
formation energy from raw total energies: -0.166 eV/atom
E: -0.125 hartree per atom
size of the total moment: 0.256 μB/cell
space group: Pm-3m (221)

Cell: 6.0993 6.0993 6.0993 Å, 90.00 90.00 90.00°
Fractional positions:
La: 0.0000 0.0000 0.0000
Te: 0.0000 0.0000 0.5000
Te: 0.0000 0.5000 0.0000
Te: 0.5000 0.0000 0.0000
F: 0.5000 0.5000 0.5000

Entry from Alexandria via LeMat-Bulk: crystalline Ac2TbSmP4 at its relaxed geometry (PBE).

Calculated values
calculated formation energy: -11.94 eV per formula unit
E: -0.235 hartree per atom
size of the total moment: 0.000 μB/cell
space group: P2/m (10)

Cell: 7.3698 4.2578 7.3889 Å, 90.00 109.39 90.00°
Fractional positions:
Ac: 0.0000 0.0000 0.0000
Ac: 0.5000 0.5000 0.0000
Tb: 0.0000 0.5000 0.5000
Sm: 0.5000 0.0000 0.5000
P: 0.2412 0.0000 0.7297
P: 0.2542 0.5000 0.2691
P: 0.7458 0.5000 0.7309
P: 0.7588 0.0000 0.2703

Entry from Alexandria via LeMat-Bulk: crystalline Y12H5Au3 at its relaxed geometry (PBE).

Calculated values
E: -0.207 hartree per atom
size of the total moment: 0.002 μB/cell
space group: Ia-3d (230)

Cell: 13.3023 13.3023 13.3023 Å, 109.47 109.47 109.47°
Fractional positions:
Y: 0.0182 0.2107 0.1139
Y: 0.0182 0.3076 0.9043
Y: 0.0957 0.6139 0.4032
Y: 0.0957 0.9818 0.6924
Y: 0.0968 0.7107 0.6924
Y: 0.0968 0.8861 0.4043
Y: 0.1139 0.0182 0.2107
Y: 0.1139 0.5957 0.9032
Y: 0.1924 0.2107 0.5968
Y: 0.1924 0.4818 0.5957
Y: 0.2107 0.1139 0.0182
Y: 0.2107 0.5968 0.1924
Y: 0.2893 0.3076 0.9032
Y: 0.2893 0.4818 0.3861
Y: 0.3076 0.9032 0.2893
Y: 0.3076 0.9043 0.0182
Y: 0.3861 0.2893 0.4818
Y: 0.3861 0.5968 0.9043
Y: 0.4032 0.0957 0.6139
Y: 0.4032 0.8076 0.7893
Y: 0.4043 0.0968 0.8861
Y: 0.4043 0.8076 0.5182
Y: 0.4818 0.3861 0.2893
Y: 0.4818 0.5957 0.1924
Y: 0.5182 0.4043 0.8076
Y: 0.5182 0.6139 0.7107
Y: 0.5957 0.1924 0.4818
Y: 0.5957 0.9032 0.1139
Y: 0.5968 0.1924 0.2107
Y: 0.5968 0.9043 0.3861
Y: 0.6139 0.4032 0.0957
Y: 0.6139 0.7107 0.5182
Y: 0.6924 0.0957 0.9818
Y: 0.6924 0.0968 0.7107
Y: 0.7107 0.5182 0.6139
Y: 0.7107 0.6924 0.0968
Y: 0.7893 0.4032 0.8076
Y: 0.7893 0.8861 0.9818
Y: 0.8076 0.5182 0.4043
Y: 0.8076 0.7893 0.4032
Y: 0.8861 0.4043 0.0968
Y: 0.8861 0.9818 0.7893
Y: 0.9032 0.1139 0.5957
Y: 0.9032 0.2893 0.3076
Y: 0.9043 0.0182 0.3076
Y: 0.9043 0.3861 0.5968
Y: 0.9818 0.6924 0.0957
Y: 0.9818 0.7893 0.8861
H: 0.0000 0.0000 0.0000
H: 0.0000 0.0000 0.5000
H: 0.0000 0.5000 0.0000
H: 0.0000 0.5000 0.5000
H: 0.1250 0.7500 0.8750
H: 0.1250 0.8750 0.2500
H: 0.2500 0.1250 0.8750
H: 0.2500 0.6250 0.3750
H: 0.3750 0.2500 0.6250
H: 0.3750 0.6250 0.7500
H: 0.5000 0.0000 0.0000
H: 0.5000 0.0000 0.5000
H: 0.5000 0.5000 0.0000
H: 0.5000 0.5000 0.5000
H: 0.6250 0.3750 0.2500
H: 0.6250 0.7500 0.3750
H: 0.7500 0.3750 0.6250
H: 0.7500 0.8750 0.1250
H: 0.8750 0.1250 0.7500
H: 0.8750 0.2500 0.1250
Au: 0.1250 0.2500 0.3750
Au: 0.1250 0.3750 0.7500
Au: 0.2500 0.3750 0.1250
Au: 0.2500 0.8750 0.6250
Au: 0.3750 0.1250 0.2500
Au: 0.3750 0.7500 0.1250
Au: 0.6250 0.2500 0.8750
Au: 0.6250 0.8750 0.7500
Au: 0.7500 0.1250 0.3750
Au: 0.7500 0.6250 0.8750
Au: 0.8750 0.6250 0.2500
Au: 0.8750 0.7500 0.6250

Entry from Alexandria via LeMat-Bulk: crystalline Tl2MoPb at its relaxed geometry (PBE).

Calculated values
excess energy over the best structure of this formula in the dataset: 271 meV per atom
calculated formation energy: 3.04 eV per formula unit
E: -0.149 hartree per atom
size of the total moment: 4.021 μB/cell
space group: I-4m2 (119)

Cell: 4.5302 4.5302 9.5031 Å, 90.00 90.00 90.00°
Fractional positions:
Tl: 0.0000 0.0000 0.0000
Tl: 0.0000 0.5000 0.2500
Tl: 0.5000 0.0000 0.7500
Tl: 0.5000 0.5000 0.5000
Mo: 0.0000 0.5000 0.7500
Mo: 0.5000 0.0000 0.2500
Pb: 0.0000 0.0000 0.5000
Pb: 0.5000 0.5000 0.0000

Entry from Alexandria via LeMat-Bulk: crystalline AcDy2Ga at its relaxed geometry (PBE).

Calculated values
excess energy over the best structure of this formula in the dataset: 149 meV per atom
calculated formation energy: -0.39 eV per formula unit
E: -0.154 hartree per atom
size of the total moment: 0.000 μB/cell
space group: R3m (160)

Cell: 4.9616 4.9616 18.3255 Å, 90.00 90.00 120.00°
Fractional positions:
Ac: 0.0000 0.0000 0.0000
Ac: 0.3333 0.6667 0.6667
Ac: 0.6667 0.3333 0.3333
Dy: 0.0000 0.0000 0.2132
Dy: 0.0000 0.0000 0.4480
Dy: 0.3333 0.6667 0.1147
Dy: 0.3333 0.6667 0.8799
Dy: 0.6667 0.3333 0.5465
Dy: 0.6667 0.3333 0.7813
Ga: 0.0000 0.0000 0.8092
Ga: 0.3333 0.6667 0.4759
Ga: 0.6667 0.3333 0.1426